Record 1
# La2SbIrN | the Alexandria database | PBE | optimized geometry
data_La2SbIrN
_symmetry_space_group_name_H-M 'P 4/m m m'
_symmetry_Int_Tables_number 123
_symmetry_space_group_name_Hall '-P 4 2'
_cell_length_a 5.434
_cell_length_b 5.434
_cell_length_c 3.892
_cell_angle_alpha 90.00
_cell_angle_beta 90.00
_cell_angle_gamma 90.00
loop_
_atom_site_label
_atom_site_type_symbol
_atom_site_fract_x
_atom_site_fract_y
_atom_site_fract_z
La1 La 0.000 0.500 0.000
Sb1 Sb 0.000 0.000 0.500
Ir1 Ir 0.500 0.500 0.500
N1 N 0.500 0.500 0.000
# total energy: -7.17 eV per atom
# spin magnetization: 0.0 μB/cell

---

Record 2
# LaIrSe2N | the Alexandria database | PBE | optimized geometry
data_LaIrSe2N
_symmetry_space_group_name_H-M 'P 4/m m m'
_symmetry_Int_Tables_number 123
_symmetry_space_group_name_Hall '-P 4 2'
_cell_length_a 5.224
_cell_length_b 5.224
_cell_length_c 3.760
_cell_angle_alpha 90.00
_cell_angle_beta 90.00
_cell_angle_gamma 90.00
loop_
_atom_site_label
_atom_site_type_symbol
_atom_site_fract_x
_atom_site_fract_y
_atom_site_fract_z
La1 La 0.000 0.000 0.000
Ir1 Ir 0.500 0.500 0.500
Se1 Se 0.000 0.500 0.500
N1 N 0.500 0.500 0.000
# energy above the most stable polymorph in this dataset: 0 meV/atom
# total energy: -6.46 eV per atom
# spin magnetization: 0.0 μB/cell

---

Record 3
# LaIrSeN2 | the Alexandria database | PBE | optimized geometry
data_LaIrSeN2
_symmetry_space_group_name_H-M 'P 4/m m m'
_symmetry_Int_Tables_number 123
_symmetry_space_group_name_Hall '-P 4 2'
_cell_length_a 4.044
_cell_length_b 4.044
_cell_length_c 5.068
_cell_angle_alpha 90.00
_cell_angle_beta 90.00
_cell_angle_gamma 90.00
loop_
_atom_site_label
_atom_site_type_symbol
_atom_site_fract_x
_atom_site_fract_y
_atom_site_fract_z
La1 La 0.000 0.000 0.000
Ir1 Ir 0.500 0.500 0.500
Se1 Se 0.500 0.500 0.000
N1 N 0.000 0.500 0.500
# energy above the most stable polymorph in this dataset: 0 meV/atom
# total energy: -6.80 eV per atom
# spin magnetization: 0.0 μB/cell

---

Record 4
# LaIrSe2N | the Alexandria database | PBE | optimized geometry
data_LaIrSe2N
_symmetry_space_group_name_H-M 'P 4/m m m'
_symmetry_Int_Tables_number 123
_symmetry_space_group_name_Hall '-P 4 2'
_cell_length_a 5.772
_cell_length_b 5.772
_cell_length_c 3.945
_cell_angle_alpha 90.00
_cell_angle_beta 90.00
_cell_angle_gamma 90.00
loop_
_atom_site_label
_atom_site_type_symbol
_atom_site_fract_x
_atom_site_fract_y
_atom_site_fract_z
La1 La 0.000 0.000 0.000
Ir1 Ir 0.500 0.500 0.500
Se1 Se 0.000 0.500 0.000
N1 N 0.000 0.000 0.500
# energy above the most stable polymorph in this dataset: 1779 meV/atom
# total energy: -4.68 eV per atom
# spin magnetization: 1.1 μB/cell

---

Record 5
# LaIrSeN2 | the Alexandria database | PBE | optimized geometry
data_LaIrSeN2
_symmetry_space_group_name_H-M 'P 4/m m m'
_symmetry_Int_Tables_number 123
_symmetry_space_group_name_Hall '-P 4 2'
_cell_length_a 4.030
_cell_length_b 4.030
_cell_length_c 6.492
_cell_angle_alpha 90.00
_cell_angle_beta 90.00
_cell_angle_gamma 90.00
loop_
_atom_site_label
_atom_site_type_symbol
_atom_site_fract_x
_atom_site_fract_y
_atom_site_fract_z
La1 La 0.000 0.000 0.000
Ir1 Ir 0.500 0.500 0.500
Se1 Se 0.000 0.000 0.500
N1 N 0.000 0.500 0.000
# energy above the most stable polymorph in this dataset: 1434 meV/atom
# total energy: -5.36 eV per atom
# spin magnetization: 1.5 μB/cell

---

Record 6
# La4IrSe2N | the Alexandria database | PBE | optimized geometry
data_La4IrSe2N
_symmetry_space_group_name_H-M 'P 1 2/m 1'
_symmetry_Int_Tables_number 10
_symmetry_space_group_name_Hall '-P 2y'
_cell_length_a 7.018
_cell_length_b 4.159
_cell_length_c 7.420
_cell_angle_alpha 90.00
_cell_angle_beta 107.04
_cell_angle_gamma 90.00
loop_
_atom_site_label
_atom_site_type_symbol
_atom_site_fract_x
_atom_site_fract_y
_atom_site_fract_z
La1 La 0.229 0.000 0.287
La2 La 0.238 0.500 0.714
Ir1 Ir 0.500 0.500 0.500
Se1 Se 0.000 0.500 0.000
Se2 Se 0.500 0.000 0.000
N1 N 0.000 0.000 0.500
# total energy: -6.93 eV per atom
# spin magnetization: 0.0 μB/cell

---

Record 7
# La2IrSeN | the Alexandria database | PBE | optimized geometry
data_La2IrSeN
_symmetry_space_group_name_H-M 'P 4/m m m'
_symmetry_Int_Tables_number 123
_symmetry_space_group_name_Hall '-P 4 2'
_cell_length_a 5.319
_cell_length_b 5.319
_cell_length_c 3.819
_cell_angle_alpha 90.00
_cell_angle_beta 90.00
_cell_angle_gamma 90.00
loop_
_atom_site_label
_atom_site_type_symbol
_atom_site_fract_x
_atom_site_fract_y
_atom_site_fract_z
La1 La 0.000 0.500 0.000
Ir1 Ir 0.000 0.000 0.500
Se1 Se 0.500 0.500 0.500
N1 N 0.000 0.000 0.000
# total energy: -7.32 eV per atom
# spin magnetization: 0.0 μB/cell

---

Record 8
# LaSm2IrN4 | the Alexandria database | PBE | optimized geometry
data_LaSm2IrN4
_symmetry_space_group_name_H-M 'C m c m'
_symmetry_Int_Tables_number 63
_symmetry_space_group_name_Hall '-C 2c 2'
_cell_length_a 3.495
_cell_length_b 12.067
_cell_length_c 11.884
_cell_angle_alpha 90.00
_cell_angle_beta 90.00
_cell_angle_gamma 90.00
loop_
_atom_site_label
_atom_site_type_symbol
_atom_site_fract_x
_atom_site_fract_y
_atom_site_fract_z
La1 La 0.000 0.111 0.250
Sm1 Sm 0.000 0.369 0.044
Ir1 Ir 0.000 0.150 0.750
N1 N 0.000 0.000 0.000
N2 N 0.000 0.272 0.631
N3 N 0.000 0.444 0.250
# total energy: -7.93 eV per atom
# spin magnetization: 0.0 μB/cell

---

Record 9
# SrLaIrN2 | the Alexandria database | PBE | optimized geometry
data_SrLaIrN2
_symmetry_space_group_name_H-M 'P c c m'
_symmetry_Int_Tables_number 49
_symmetry_space_group_name_Hall '-P 2 2c'
_cell_length_a 5.358
_cell_length_b 5.558
_cell_length_c 7.140
_cell_angle_alpha 90.00
_cell_angle_beta 90.00
_cell_angle_gamma 90.00
loop_
_atom_site_label
_atom_site_type_symbol
_atom_site_fract_x
_atom_site_fract_y
_atom_site_fract_z
Sr1 Sr 0.000 0.000 0.250
La1 La 0.500 0.500 0.250
Ir1 Ir 0.500 0.000 0.000
N1 N 0.273 0.272 0.000
# total energy: -6.97 eV per atom
# spin magnetization: 2.3 μB/cell

---

Record 10
# Sr2LaIrN | the Alexandria database | PBE | optimized geometry
data_Sr2LaIrN
_symmetry_space_group_name_H-M 'P 4/m m m'
_symmetry_Int_Tables_number 123
_symmetry_space_group_name_Hall '-P 4 2'
_cell_length_a 6.236
_cell_length_b 6.236
_cell_length_c 4.100
_cell_angle_alpha 90.00
_cell_angle_beta 90.00
_cell_angle_gamma 90.00
loop_
_atom_site_label
_atom_site_type_symbol
_atom_site_fract_x
_atom_site_fract_y
_atom_site_fract_z
Sr1 Sr 0.000 0.500 0.000
La1 La 0.000 0.000 0.000
Ir1 Ir 0.500 0.500 0.500
N1 N 0.000 0.000 0.500
# total energy: -4.17 eV per atom
# spin magnetization: 0.0 μB/cell

---

Record 11
# LaTb2IrN4 | the Alexandria database | PBE | optimized geometry
data_LaTb2IrN4
_symmetry_space_group_name_H-M 'C m c m'
_symmetry_Int_Tables_number 63
_symmetry_space_group_name_Hall '-C 2c 2'
_cell_length_a 3.456
_cell_length_b 11.935
_cell_length_c 11.682
_cell_angle_alpha 90.00
_cell_angle_beta 90.00
_cell_angle_gamma 90.00
loop_
_atom_site_label
_atom_site_type_symbol
_atom_site_fract_x
_atom_site_fract_y
_atom_site_fract_z
La1 La 0.000 0.111 0.250
Tb1 Tb 0.000 0.370 0.044
Ir1 Ir 0.000 0.149 0.750
N1 N 0.000 0.000 0.000
N2 N 0.000 0.270 0.627
N3 N 0.000 0.446 0.250
# total energy: -7.99 eV per atom
# spin magnetization: 0.0 μB/cell

---

Record 12
# La2TcIrN | the Alexandria database | PBE | optimized geometry
data_La2TcIrN
_symmetry_space_group_name_H-M 'P 4/m m m'
_symmetry_Int_Tables_number 123
_symmetry_space_group_name_Hall '-P 4 2'
_cell_length_a 5.163
_cell_length_b 5.163
_cell_length_c 3.866
_cell_angle_alpha 90.00
_cell_angle_beta 90.00
_cell_angle_gamma 90.00
loop_
_atom_site_label
_atom_site_type_symbol
_atom_site_fract_x
_atom_site_fract_y
_atom_site_fract_z
La1 La 0.000 0.500 0.000
Tc1 Tc 0.000 0.000 0.500
Ir1 Ir 0.500 0.500 0.500
N1 N 0.000 0.000 0.000
# total energy: -8.06 eV per atom
# spin magnetization: 0.0 μB/cell

---

Record 13
# LaTeIrN2 | the Alexandria database | PBE | optimized geometry
data_LaTeIrN2
_symmetry_space_group_name_H-M 'P 4/m m m'
_symmetry_Int_Tables_number 123
_symmetry_space_group_name_Hall '-P 4 2'
_cell_length_a 4.041
_cell_length_b 4.041
_cell_length_c 7.233
_cell_angle_alpha 90.00
_cell_angle_beta 90.00
_cell_angle_gamma 90.00
loop_
_atom_site_label
_atom_site_type_symbol
_atom_site_fract_x
_atom_site_fract_y
_atom_site_fract_z
La1 La 0.000 0.000 0.000
Te1 Te 0.000 0.000 0.500
Ir1 Ir 0.500 0.500 0.500
N1 N 0.000 0.500 0.000
# energy above the most stable polymorph in this dataset: 890 meV/atom
# total energy: -5.42 eV per atom
# spin magnetization: 0.8 μB/cell

---

no.,uncorrected formation energy (meV per atom)
1,-934.6
2,-639.3
3,-11.5
4,1139.4
5,1422.8
6,-1446.0
7,-1209.9
8,-862.0
9,-550.6
10,928.4
11,-946.6
12,-582.2
13,1294.8